[1]
Entry from Alexandria: CuIr2Br after structural relaxation (PBE).

a b c (Å): 4.5355 4.5355 2.9492
angles (deg): 90.00 90.00 90.00
Space group P4/mmm (No. 123)
Unique sites:
Cu 0.0000 0.0000 0.0000 (multiplicity 1)
Ir 0.0000 0.5000 0.5000 (multiplicity 2)
Br 0.5000 0.5000 0.0000 (multiplicity 1)

## Properties
**Excess energy over the best structure of this formula in the dataset**: 2.17 eV/f.u.
**Raw formation energy**: 0.9926 eV/atom



[2]
Entry from Alexandria: Sr2ScNi after structural relaxation (PBE).

a b c (Å): 3.5287 3.9924 18.2331
angles (deg): 90.00 90.00 90.00
Space group Immm (No. 71)
Unique sites:
Sr 0.0000 0.0000 0.1559 (multiplicity 4)
Sc 0.0000 0.5000 0.0000 (multiplicity 2)
Ni 0.0000 0.5000 0.5000 (multiplicity 2)

## Properties
**Excess energy over the best structure of this formula in the dataset**: 0.15 eV/f.u.



[3]
Entry from Alexandria: CePuCdIr after structural relaxation (PBE).

a b c (Å): 7.1996 7.1996 7.1996
angles (deg): 90.00 90.00 90.00
Space group F-43m (No. 216)
Unique sites:
Ce 0.0000 0.0000 0.0000 (multiplicity 4)
Pu 0.0000 0.0000 0.5000 (multiplicity 4)
Cd 0.2500 0.2500 0.7500 (multiplicity 4)
Ir 0.2500 0.2500 0.2500 (multiplicity 4)

## Properties
**Electronic total energy**: -7.747 eV per atom



[4]
Entry from Alexandria: NaTlAg2Br6 after structural relaxation (PBE).

a b c (Å): 7.2527 7.2579 7.8160
angles (deg): 90.02 117.63 119.96
Space group P1 (No. 1)
Unique sites:
Na 0.0000 0.0000 0.0000 (multiplicity 1)
Tl 0.9824 0.4912 0.4732 (multiplicity 1)
Ag 0.5970 0.2982 0.8948 (multiplicity 1)
Ag 0.6112 0.8060 0.4165 (multiplicity 1)
Br 0.1124 0.4178 0.1996 (multiplicity 1)
Br 0.1161 0.2255 0.6923 (multiplicity 1)
Br 0.4673 0.8903 0.6922 (multiplicity 1)
Br 0.5056 0.0881 0.1996 (multiplicity 1)
Br 0.7821 0.6944 0.1997 (multiplicity 1)
Br 0.8026 0.5769 0.6927 (multiplicity 1)

## Properties
**Raw formation energy**: -0.6126 eV/atom